1.
Density functional theory data (PBE-GGA) for an optimized crystal structure of AcNd3Ho6Er2.

a = 6.2345 Å, b = 6.2345 Å, c = 11.8913 Å
α = 95.00°, β = 95.00°, γ = 119.98°
Sites, in units of the cell vectors:
Ac 0.0000 0.0000 0.0000
Nd 0.1670 0.8330 0.5000
Nd 0.5000 0.5000 0.5000
Nd 0.8330 0.1670 0.5000
Ho 0.0840 0.4205 0.2506
Ho 0.2526 0.2526 0.7492
Ho 0.4205 0.0840 0.2506
Ho 0.5795 0.9160 0.7494
Ho 0.7474 0.7474 0.2508
Ho 0.9160 0.5795 0.7494
Er 0.3333 0.6667 0.0000
Er 0.6667 0.3333 0.0000

## Properties
Volume (Å³/cell): 394
D(E_F) (states/eV per cell): 14.76
DFT formation energy (eV/f.u.): 0.3



2.
Density functional theory data (PBE-GGA) for an optimized crystal structure of AcNd2HoEr5.

a = 9.9505 Å, b = 9.9505 Å, c = 9.9505 Å
α = 127.39°, β = 127.39°, γ = 77.62°
Sites, in units of the cell vectors:
Ac 0.2500 0.2500 0.0000
Ac 0.7500 0.7500 0.0000
Nd 0.1166 0.6166 0.7332
Nd 0.3834 0.1166 0.5000
Nd 0.6166 0.8834 0.5000
Nd 0.8834 0.3834 0.2668
Ho 0.2500 0.7500 0.5000
Ho 0.7500 0.2500 0.5000
Er 0.0000 0.0000 0.0000
Er 0.0740 0.1595 0.5000
Er 0.1595 0.6595 0.0855
Er 0.3405 0.4260 0.5000
Er 0.4260 0.9260 0.0855
Er 0.5000 0.5000 0.0000
Er 0.5740 0.0740 0.9145
Er 0.6595 0.5740 0.5000
Er 0.8405 0.3405 0.9145
Er 0.9260 0.8405 0.5000

## Properties
Volume (Å³/cell): 603
D(E_F) (states/eV per cell): 19.10
DFT formation energy (eV/f.u.): 2.4



3.
Density functional theory data (PBE-GGA) for an optimized crystal structure of AcNdHoEr2.

a = 9.3715 Å, b = 9.3715 Å, c = 6.4567 Å
α = 90.00°, β = 90.00°, γ = 139.72°
Sites, in units of the cell vectors:
Ac 0.1588 0.8412 0.7500
Ac 0.8412 0.1588 0.2500
Nd 0.3477 0.6523 0.7500
Nd 0.6523 0.3477 0.2500
Ho 0.2479 0.7521 0.2500
Ho 0.7521 0.2479 0.7500
Er 0.2514 0.2514 0.0000
Er 0.2514 0.2514 0.5000
Er 0.7486 0.7486 0.0000
Er 0.7486 0.7486 0.5000

## Properties
Volume (Å³/cell): 367
D(E_F) (states/eV per cell): 17.10
DFT formation energy (eV/f.u.): 1.9



4.
Density functional theory data (PBE-GGA) for an optimized crystal structure of Ac2Nd5HoEr.

a = 10.8022 Å, b = 10.8022 Å, c = 10.9409 Å
α = 90.00°, β = 90.00°, γ = 148.77°
Sites, in units of the cell vectors:
Ac 0.1127 0.8873 0.5000
Ac 0.1167 0.8833 0.0809
Ac 0.8833 0.1167 0.5809
Ac 0.8873 0.1127 0.0000
Nd 0.0185 0.9815 0.7854
Nd 0.2805 0.7195 0.0764
Nd 0.2939 0.7061 0.4664
Nd 0.3852 0.6148 0.7861
Nd 0.4845 0.5155 0.5095
Nd 0.5155 0.4845 0.0095
Nd 0.6148 0.3852 0.2861
Nd 0.7061 0.2939 0.9664
Nd 0.7195 0.2805 0.5764
Nd 0.9815 0.0185 0.2854
Ho 0.2041 0.7959 0.7746
Ho 0.7959 0.2041 0.2746
Er 0.4059 0.5941 0.2349
Er 0.5941 0.4059 0.7349

## Properties
Volume (Å³/cell): 662
D(E_F) (states/eV per cell): 25.27
DFT formation energy (eV/f.u.): 1.2



5.
Density functional theory data (PBE-GGA) for an optimized crystal structure of AcNdHo2Er4.

a = 9.5973 Å, b = 9.5973 Å, c = 9.5973 Å
α = 137.97°, β = 103.49°, γ = 91.37°
Sites, in units of the cell vectors:
Ac 0.0000 0.0000 0.0000
Ac 0.5000 0.0000 0.5000
Nd 0.5000 0.0000 0.0000
Nd 0.5000 0.5000 0.5000
Ho 0.0000 0.0000 0.5000
Ho 0.0000 0.5000 0.0000
Ho 0.0000 0.5000 0.5000
Ho 0.5000 0.5000 0.0000
Er 0.2356 0.7402 0.4954
Er 0.2457 0.2585 0.5128
Er 0.2457 0.7328 0.9872
Er 0.2552 0.2598 0.9954
Er 0.7448 0.7402 0.0046
Er 0.7543 0.2672 0.0128
Er 0.7543 0.7415 0.4872
Er 0.7644 0.2598 0.5046

## Properties
Volume (Å³/cell): 548
D(E_F) (states/eV per cell): 37.47
DFT formation energy (eV/f.u.): 3.6



6.
Density functional theory data (PBE-GGA) for an optimized crystal structure of AcHoErPb.

a = 5.5909 Å, b = 5.5909 Å, c = 5.5909 Å
α = 60.00°, β = 60.00°, γ = 60.00°
Sites, in units of the cell vectors:
Ac 0.0000 0.0000 0.0000
Ho 0.2500 0.2500 0.2500
Er 0.7500 0.7500 0.7500
Pb 0.5000 0.5000 0.5000

## Properties
Volume (Å³/cell): 124
D(E_F) (states/eV per cell): 6.53
DFT formation energy (eV/f.u.): -0.1



7.
Density functional theory data (PBE-GGA) for an optimized crystal structure of AcPm6HoEr2.

a = 9.0072 Å, b = 9.0072 Å, c = 9.6685 Å
α = 92.84°, β = 92.84°, γ = 117.16°
Sites, in units of the cell vectors:
Ac 0.0298 0.9702 0.7500
Ac 0.9702 0.0298 0.2500
Pm 0.0068 0.5528 0.6828
Pm 0.1225 0.7554 0.0547
Pm 0.2446 0.8775 0.4453
Pm 0.2900 0.5127 0.8827
Pm 0.4472 0.9932 0.8172
Pm 0.4873 0.7100 0.6173
Pm 0.5127 0.2900 0.3827
Pm 0.5528 0.0068 0.1828
Pm 0.7100 0.4873 0.1173
Pm 0.7554 0.1225 0.5547
Pm 0.8775 0.2446 0.9453
Pm 0.9932 0.4472 0.3172
Ho 0.4128 0.5872 0.2500
Ho 0.5872 0.4128 0.7500
Er 0.2062 0.3144 0.5487
Er 0.3144 0.2062 0.0487
Er 0.6856 0.7938 0.9513
Er 0.7938 0.6856 0.4513

## Properties
Volume (Å³/cell): 695
D(E_F) (states/eV per cell): 28.55
DFT formation energy (eV/f.u.): 1.2



8.
Density functional theory data (PBE-GGA) for an optimized crystal structure of AcPm2Ho4Er.

a = 9.6170 Å, b = 9.6170 Å, c = 9.6170 Å
α = 137.95°, β = 103.38°, γ = 91.49°
Sites, in units of the cell vectors:
Ac 0.0000 0.0000 0.0000
Ac 0.5000 0.0000 0.5000
Pm 0.0000 0.5000 0.5000
Pm 0.5000 0.0000 0.0000
Pm 0.5000 0.5000 0.0000
Pm 0.5000 0.5000 0.5000
Ho 0.2368 0.7418 0.4950
Ho 0.2448 0.2571 0.5123
Ho 0.2448 0.7325 0.9877
Ho 0.2532 0.2582 0.9950
Ho 0.7468 0.7418 0.0050
Ho 0.7552 0.2675 0.0123
Ho 0.7552 0.7429 0.4877
Ho 0.7632 0.2582 0.5050
Er 0.0000 0.0000 0.5000
Er 0.0000 0.5000 0.0000

## Properties
Volume (Å³/cell): 552
D(E_F) (states/eV per cell): 37.21
DFT formation energy (eV/f.u.): 3.5